Record 1
An optimized crystal structure of Ba2AcAl6. Source: Alexandria, functional PBE.

CIF file:
```
data_Ba2AcAl6
_space_group_name_H-M_alt 'P 1'
_space_group_IT_number 1
_cell_length_a 3.6188
_cell_length_b 8.8162
_cell_length_c 8.8162
_cell_angle_alpha 75.35
_cell_angle_beta 78.16
_cell_angle_gamma 78.16
loop_
_space_group_symop_operation_xyz
'x,y,z'
loop_
_atom_site_label
_atom_site_type_symbol
_atom_site_fract_x
_atom_site_fract_y
_atom_site_fract_z
Ba1 Ba 0.3657 0.1343 0.1343
Ba2 Ba 0.6343 0.8657 0.8657
Ac1 Ac 0.5000 0.5000 0.5000
Al1 Al 0.1811 0.5215 0.1162
Al2 Al 0.8189 0.4785 0.8838
Al3 Al 0.8189 0.8838 0.4785
Al4 Al 0.0000 0.2184 0.7816
Al5 Al 0.0000 0.7816 0.2184
Al6 Al 0.1811 0.1162 0.5215
```

Summary:
Total magnetic moment (μB/f.u.): 0.0
Formation energy (meV/atom): 13
Energy relative to the lowest polymorph listed for this composition (eV/f.u.): 2.32

***

Record 2
An optimized crystal structure of BaAcAl2. Source: Alexandria, functional PBE.

CIF file:
```
data_BaAcAl2
_space_group_name_H-M_alt 'P 1'
_space_group_IT_number 1
_cell_length_a 4.0713
_cell_length_b 4.0713
_cell_length_c 8.0798
_cell_angle_alpha 90.00
_cell_angle_beta 90.00
_cell_angle_gamma 90.00
loop_
_space_group_symop_operation_xyz
'x,y,z'
loop_
_atom_site_label
_atom_site_type_symbol
_atom_site_fract_x
_atom_site_fract_y
_atom_site_fract_z
Ac1 Ac 0.5000 0.5000 0.0000
Ba1 Ba 0.5000 0.5000 0.5000
Al1 Al 0.0000 0.0000 0.7799
Al2 Al 0.0000 0.0000 0.2201
```

Summary:
Total magnetic moment (μB/f.u.): 0.0
Formation energy (meV/atom): -123
Energy relative to the lowest polymorph listed for this composition (eV/f.u.): 0.18

***

Record 3
An optimized crystal structure of BaAcAl2. Source: Alexandria, functional PBE.

CIF file:
```
data_BaAcAl2
_space_group_name_H-M_alt 'P 1'
_space_group_IT_number 1
_cell_length_a 5.7144
_cell_length_b 5.7144
_cell_length_c 5.7144
_cell_angle_alpha 60.00
_cell_angle_beta 60.00
_cell_angle_gamma 60.00
loop_
_space_group_symop_operation_xyz
'x,y,z'
loop_
_atom_site_label
_atom_site_type_symbol
_atom_site_fract_x
_atom_site_fract_y
_atom_site_fract_z
Ac1 Ac 0.5000 0.5000 0.5000
Ba1 Ba 0.0000 0.0000 0.0000
Al1 Al 0.2500 0.2500 0.2500
Al2 Al 0.7500 0.7500 0.7500
```

Summary:
Total magnetic moment (μB/f.u.): 0.0
Formation energy (meV/atom): -69
Energy relative to the lowest polymorph listed for this composition (eV/f.u.): 0.39